(1)
DFT (SCAN) results for a PBEsol-optimized structure of Ta2AsCl.

Computed properties:
E   -40.80 eV per atom
Volume   21.112 Å³/atom
Formation energy from raw total energies   -0.47 eV per atom

The structure in CIF format:
```
data_Ta2AsCl
_cell_length_a 3.475
_cell_length_b 3.135
_cell_length_c 7.936
_cell_angle_alpha 90.00
_cell_angle_beta 102.36
_cell_angle_gamma 90.00
_space_group_name_H-M_alt 'P 1'
_space_group_IT_number 1
_space_group_name_Hall 'P 1'
loop_
_atom_site_label
_atom_site_type_symbol
_atom_site_fract_x
_atom_site_fract_y
_atom_site_fract_z
Ta1 Ta 0.000 0.000 0.000
Ta2 Ta 0.394 0.500 0.783
As1 As 0.572 0.500 0.147
Cl1 Cl 0.273 0.000 0.536
```

(2)
DFT (SCAN) results for a PBEsol-optimized structure of TcAs2Cl.

Computed properties:
E   -20.24 eV per atom
E above lowest polymorph   734 meV per atom
Volume   16.551 Å³/atom
Formation energy from raw total energies   0.62 eV per atom

The structure in CIF format:
```
data_TcAs2Cl
_cell_length_a 4.541
_cell_length_b 4.541
_cell_length_c 4.541
_cell_angle_alpha 60.00
_cell_angle_beta 60.00
_cell_angle_gamma 60.00
_space_group_name_H-M_alt 'P 1'
_space_group_IT_number 1
_space_group_name_Hall 'P 1'
loop_
_atom_site_label
_atom_site_type_symbol
_atom_site_fract_x
_atom_site_fract_y
_atom_site_fract_z
Tc1 Tc 0.000 0.000 0.000
As1 As 0.250 0.250 0.250
As2 As 0.750 0.750 0.750
Cl1 Cl 0.500 0.500 0.500
```

(3)
DFT (SCAN) results for a PBEsol-optimized structure of TcAs2Cl.

Computed properties:
E   -20.28 eV per atom
E above lowest polymorph   696 meV per atom
Volume   15.841 Å³/atom
Formation energy from raw total energies   0.58 eV per atom

The structure in CIF format:
```
data_TcAs2Cl
_cell_length_a 4.752
_cell_length_b 4.752
_cell_length_c 4.752
_cell_angle_alpha 128.84
_cell_angle_beta 128.84
_cell_angle_gamma 75.26
_space_group_name_H-M_alt 'P 1'
_space_group_IT_number 1
_space_group_name_Hall 'P 1'
loop_
_atom_site_label
_atom_site_type_symbol
_atom_site_fract_x
_atom_site_fract_y
_atom_site_fract_z
Tc1 Tc 0.000 0.000 0.000
As1 As 0.250 0.750 0.500
As2 As 0.750 0.250 0.500
Cl1 Cl 0.500 0.500 0.000
```

(4)
DFT (SCAN) results for a PBEsol-optimized structure of Tc2AsCl.

Computed properties:
E   -24.09 eV per atom
E above lowest polymorph   366 meV per atom
Volume   13.920 Å³/atom
Formation energy from raw total energies   0.48 eV per atom

The structure in CIF format:
```
data_Tc2AsCl
_cell_length_a 4.286
_cell_length_b 4.286
_cell_length_c 4.286
_cell_angle_alpha 60.00
_cell_angle_beta 60.00
_cell_angle_gamma 60.00
_space_group_name_H-M_alt 'P 1'
_space_group_IT_number 1
_space_group_name_Hall 'P 1'
loop_
_atom_site_label
_atom_site_type_symbol
_atom_site_fract_x
_atom_site_fract_y
_atom_site_fract_z
Tc1 Tc 0.250 0.250 0.250
Tc2 Tc 0.750 0.750 0.750
As1 As 0.000 0.000 0.000
Cl1 Cl 0.500 0.500 0.500
```

(5)
DFT (SCAN) results for a PBEsol-optimized structure of TcAsCl.

Computed properties:
E   -21.21 eV per atom
E above lowest polymorph   0 meV per atom
Volume   19.081 Å³/atom
Formation energy from raw total energies   -0.13 eV per atom

The structure in CIF format:
```
data_TcAsCl
_cell_length_a 3.039
_cell_length_b 3.039
_cell_length_c 7.156
_cell_angle_alpha 90.00
_cell_angle_beta 90.00
_cell_angle_gamma 120.00
_space_group_name_H-M_alt 'P 1'
_space_group_IT_number 1
_space_group_name_Hall 'P 1'
loop_
_atom_site_label
_atom_site_type_symbol
_atom_site_fract_x
_atom_site_fract_y
_atom_site_fract_z
Tc1 Tc 0.000 0.000 0.000
As1 As 0.333 0.667 0.750
Cl1 Cl 0.667 0.333 0.249
```

(6)
DFT (SCAN) results for a PBEsol-optimized structure of Tc2AsCl.

Computed properties:
E   -24.45 eV per atom
E above lowest polymorph   0 meV per atom
Volume   16.694 Å³/atom
Formation energy from raw total energies   0.12 eV per atom

The structure in CIF format:
```
data_Tc2AsCl
_cell_length_a 2.875
_cell_length_b 3.830
_cell_length_c 6.064
_cell_angle_alpha 90.00
_cell_angle_beta 90.00
_cell_angle_gamma 90.00
_space_group_name_H-M_alt 'P 1'
_space_group_IT_number 1
_space_group_name_Hall 'P 1'
loop_
_atom_site_label
_atom_site_type_symbol
_atom_site_fract_x
_atom_site_fract_y
_atom_site_fract_z
Tc1 Tc 0.000 0.000 0.000
Tc2 Tc 0.500 0.500 0.196
As1 As 0.000 0.000 0.397
Cl1 Cl 0.500 0.500 0.818
```

(7)
DFT (SCAN) results for a PBEsol-optimized structure of TcAsCl.

Computed properties:
E   -21.11 eV per atom
E above lowest polymorph   93 meV per atom
Volume   20.584 Å³/atom
Formation energy from raw total energies   -0.04 eV per atom

The structure in CIF format:
```
data_TcAsCl
_cell_length_a 6.451
_cell_length_b 6.451
_cell_length_c 6.451
_cell_angle_alpha 151.31
_cell_angle_beta 151.31
_cell_angle_gamma 41.02
_space_group_name_H-M_alt 'P 1'
_space_group_IT_number 1
_space_group_name_Hall 'P 1'
loop_
_atom_site_label
_atom_site_type_symbol
_atom_site_fract_x
_atom_site_fract_y
_atom_site_fract_z
Tc1 Tc 0.000 0.000 0.000
As1 As 0.420 0.420 0.000
Cl1 Cl 0.185 0.185 0.000
```

(8)
DFT (SCAN) results for a PBEsol-optimized structure of TcAs3Cl.

Computed properties:
E   -20.43 eV per atom
Volume   21.453 Å³/atom
Formation energy from raw total energies   0.30 eV per atom

The structure in CIF format:
```
data_TcAs3Cl
_cell_length_a 4.751
_cell_length_b 4.751
_cell_length_c 4.751
_cell_angle_alpha 90.00
_cell_angle_beta 90.00
_cell_angle_gamma 90.00
_space_group_name_H-M_alt 'P 1'
_space_group_IT_number 1
_space_group_name_Hall 'P 1'
loop_
_atom_site_label
_atom_site_type_symbol
_atom_site_fract_x
_atom_site_fract_y
_atom_site_fract_z
Tc1 Tc 0.000 0.000 0.000
As1 As 0.000 0.000 0.500
As2 As 0.000 0.500 0.000
As3 As 0.500 0.000 0.000
Cl1 Cl 0.500 0.500 0.500
```

(9)
DFT (SCAN) results for a PBEsol-optimized structure of TcAs2Cl.

Computed properties:
E   -20.97 eV per atom
E above lowest polymorph   0 meV per atom
Volume   17.023 Å³/atom
Formation energy from raw total energies   -0.12 eV per atom

The structure in CIF format:
```
data_TcAs2Cl
_cell_length_a 3.075
_cell_length_b 3.075
_cell_length_c 7.199
_cell_angle_alpha 90.00
_cell_angle_beta 90.00
_cell_angle_gamma 90.00
_space_group_name_H-M_alt 'P 1'
_space_group_IT_number 1
_space_group_name_Hall 'P 1'
loop_
_atom_site_label
_atom_site_type_symbol
_atom_site_fract_x
_atom_site_fract_y
_atom_site_fract_z
Tc1 Tc 0.000 0.000 0.000
As1 As 0.500 0.500 0.202
As2 As 0.500 0.500 0.798
Cl1 Cl 0.000 0.000 0.500
```

(10)
DFT (SCAN) results for a PBEsol-optimized structure of TcAsCl.

Computed properties:
E   -19.86 eV per atom
E above lowest polymorph   1345 meV per atom
Volume   18.773 Å³/atom
Formation energy from raw total energies   1.21 eV per atom

The structure in CIF format:
```
data_TcAsCl
_cell_length_a 4.303
_cell_length_b 4.303
_cell_length_c 4.303
_cell_angle_alpha 60.00
_cell_angle_beta 60.00
_cell_angle_gamma 60.00
_space_group_name_H-M_alt 'P 1'
_space_group_IT_number 1
_space_group_name_Hall 'P 1'
loop_
_atom_site_label
_atom_site_type_symbol
_atom_site_fract_x
_atom_site_fract_y
_atom_site_fract_z
Tc1 Tc 0.000 0.000 0.000
As1 As 0.500 0.500 0.500
Cl1 Cl 0.750 0.750 0.750
```

(11)
DFT (SCAN) results for a PBEsol-optimized structure of TcAs2Cl.

Computed properties:
E   -20.26 eV per atom
E above lowest polymorph   716 meV per atom
Volume   16.381 Å³/atom
Formation energy from raw total energies   0.60 eV per atom

The structure in CIF format:
```
data_TcAs2Cl
_cell_length_a 4.885
_cell_length_b 4.885
_cell_length_c 3.133
_cell_angle_alpha 90.00
_cell_angle_beta 90.00
_cell_angle_gamma 118.76
_space_group_name_H-M_alt 'P 1'
_space_group_IT_number 1
_space_group_name_Hall 'P 1'
loop_
_atom_site_label
_atom_site_type_symbol
_atom_site_fract_x
_atom_site_fract_y
_atom_site_fract_z
Tc1 Tc 0.000 0.000 0.000
As1 As 0.000 0.500 0.500
As2 As 0.500 0.000 0.500
Cl1 Cl 0.500 0.500 0.000
```

(12)
DFT (SCAN) results for a PBEsol-optimized structure of Tc2AsCl.

Computed properties:
E   -24.08 eV per atom
E above lowest polymorph   374 meV per atom
Volume   15.167 Å³/atom
Formation energy from raw total energies   0.49 eV per atom

The structure in CIF format:
```
data_Tc2AsCl
_cell_length_a 2.973
_cell_length_b 2.973
_cell_length_c 7.946
_cell_angle_alpha 90.00
_cell_angle_beta 90.00
_cell_angle_gamma 120.25
_space_group_name_H-M_alt 'P 1'
_space_group_IT_number 1
_space_group_name_Hall 'P 1'
loop_
_atom_site_label
_atom_site_type_symbol
_atom_site_fract_x
_atom_site_fract_y
_atom_site_fract_z
Tc1 Tc 0.000 0.000 0.239
Tc2 Tc 0.000 0.000 0.761
As1 As 0.500 0.500 0.000
Cl1 Cl 0.500 0.500 0.500
```

Copy entry 2 word for word.
DFT (SCAN) results for a PBEsol-optimized structure of TcAs2Cl.

Computed properties:
E   -20.24 eV per atom
E above lowest polymorph   734 meV per atom
Volume   16.551 Å³/atom
Formation energy from raw total energies   0.62 eV per atom

The structure in CIF format:
```
data_TcAs2Cl
_cell_length_a 4.541
_cell_length_b 4.541
_cell_length_c 4.541
_cell_angle_alpha 60.00
_cell_angle_beta 60.00
_cell_angle_gamma 60.00
_space_group_name_H-M_alt 'P 1'
_space_group_IT_number 1
_space_group_name_Hall 'P 1'
loop_
_atom_site_label
_atom_site_type_symbol
_atom_site_fract_x
_atom_site_fract_y
_atom_site_fract_z
Tc1 Tc 0.000 0.000 0.000
As1 As 0.250 0.250 0.250
As2 As 0.750 0.750 0.750
Cl1 Cl 0.500 0.500 0.500
```

Question: Which of these has the highest formation energy from raw total energies?
Answer: number 10

Question: Number 10 is which compound?
Answer: TcAsCl

Question: What is the formula in the twelfth record?
Answer: Tc2AsCl